No. 1
This record from Alexandria describes Rb8BiAs2 after structural relaxation. The functional is PBE.

Lattice parameters (Å, degrees): 10.510 10.510 10.510 147.50 127.73 62.92
Fractional positions:
Rb 0.116 0.338 0.778
Rb 0.157 0.157 0.000
Rb 0.300 0.000 0.300
Rb 0.441 0.662 0.778
Rb 0.559 0.338 0.222
Rb 0.700 0.000 0.700
Rb 0.843 0.843 0.000
Rb 0.884 0.662 0.222
Bi 0.000 0.500 0.500
As 0.316 0.816 0.500
As 0.684 0.184 0.500

* energy of formation from the pure elements: -0.253 eV per atom

---

No. 2
This record from Alexandria describes Rb2BiAsS4 after structural relaxation. The functional is PBE.

Lattice parameters (Å, degrees): 14.103 12.491 8.051 83.73 61.70 34.58
Fractional positions:
Rb 0.058 0.058 0.692
Rb 0.308 0.308 0.942
Rb 0.692 0.692 0.058
Rb 0.942 0.942 0.308
Bi 0.125 0.125 0.125
Bi 0.875 0.875 0.875
As 0.375 0.375 0.375
As 0.625 0.625 0.625
S 0.010 0.348 0.448
S 0.305 0.552 0.652
S 0.348 0.010 0.695
S 0.448 0.695 0.010
S 0.552 0.305 0.990
S 0.652 0.990 0.305
S 0.695 0.448 0.348
S 0.990 0.652 0.552

* formation energy from raw total energies: -0.47 eV/atom

---

No. 3
This record from Alexandria describes RbBi2As2S6 after structural relaxation. The functional is PBE.

Lattice parameters (Å, degrees): 7.027 8.296 8.964 66.31 69.80 81.64
Fractional positions:
Rb 0.000 0.000 0.000
Bi 0.280 0.014 0.378
Bi 0.720 0.986 0.622
As 0.381 0.360 0.560
As 0.619 0.640 0.440
S 0.031 0.158 0.590
S 0.394 0.762 0.624
S 0.445 0.209 0.802
S 0.555 0.791 0.198
S 0.606 0.238 0.376
S 0.969 0.842 0.410

* formation energy from raw total energies: -0.33 eV/atom

---

no.,magnetization (μB per formula unit),E (Ry/atom)
1,1.17,-0.1584
2,0.00,-0.2822
3,0.00,-0.3098